# 1
An optimized crystal structure of SmHo3Ag2. Source: Alexandria, functional PBE.

Unit cell a=3.6135 b=3.6135 c=12.3008 alpha=90.00 beta=90.00 gamma=90.00
Space group P4/mmm (No. 123)
Asymmetric unit:
Sm 0.0000 0.0000 0.0000
Ho 0.5000 0.5000 0.2053
Ho 0.5000 0.5000 0.5000
Ag 0.0000 0.0000 0.3518

Values from the calculation:
Crystal system: tetragonal
Uncorrected energy, eV per atom: -4.23
ΔH_f (0 K), eV/atom: -0.202

=====

# 2
An optimized crystal structure of Sm3HoAg2. Source: Alexandria, functional PBE.

Unit cell a=5.1886 b=9.2995 c=6.9789 alpha=90.00 beta=90.00 gamma=90.00
Space group Pmc2_1 (No. 26)
Asymmetric unit:
Sm 0.0000 0.0620 0.0000
Sm 0.0000 0.3335 0.3514
Sm 0.5000 0.1709 0.6679
Ho 0.5000 0.4395 0.0219
Ag 0.0000 0.3495 0.7815
Ag 0.5000 0.1555 0.2388

Values from the calculation:
Crystal system: orthorhombic
Uncorrected energy, eV per atom: -4.24
ΔH_f (0 K), eV/atom: -0.171